No. 1
## CaBe2Rh (PBEsol)

Data for an optimized crystal structure of CaBe2Rh.

Cell and atoms, written as POSCAR:
```
CaBe2Rh
1.0
4.2750 0.0000 0.0000
2.1375 3.7023 0.0000
2.1375 1.2341 3.4905
Be Rh Ca
2 1 1
direct
0.2500 0.2500 0.2500
0.7500 0.7500 0.7500
0.5000 0.5000 0.5000
0.0000 0.0000 0.0000
```

Summary:
Offset from the most stable computed form (meV/atom): 382.7
Energy of formation (meV/atom): 91
Space group: Fm-3m (225)

No. 2
## CaBe2Rh (PBEsol)

Data for an optimized crystal structure of CaBe2Rh.

Cell and atoms, written as POSCAR:
```
CaBe2Rh
1.0
3.8736 0.0000 0.0000
1.9368 3.3547 0.0000
1.9368 1.1182 4.9540
Ca Rh Be
1 1 2
direct
0.5000 0.5000 0.5000
0.0000 0.0000 0.0000
0.6875 0.6875 0.9375
0.3125 0.3125 0.0625
```

Summary:
Offset from the most stable computed form (meV/atom): 0.0
Energy of formation (meV/atom): -292
Space group: R-3m (166)

No. 3
## CaBe2Rh (PBEsol)

Data for an optimized crystal structure of CaBe2Rh.

Cell and atoms, written as POSCAR:
```
CaBe2Rh
1.0
4.2966 0.0000 0.0000
0.0000 4.2966 0.0000
-2.1483 -2.1483 7.6025
Ca Be Rh
2 4 2
direct
0.7500 0.2500 0.5000
0.5000 0.5000 0.0000
0.1250 0.8750 0.7500
0.6250 0.8750 0.7500
0.1250 0.8750 0.2500
0.1250 0.3750 0.2500
0.2500 0.7500 0.5000
0.0000 0.0000 0.0000
```

Summary:
Offset from the most stable computed form (meV/atom): 301.8
Energy of formation (meV/atom): 10
Space group: I4_1/amd (141)

No. 4
## CaBe2Rh (PBEsol)

Data for an optimized crystal structure of CaBe2Rh.

Cell and atoms, written as POSCAR:
```
CaBe2Rh
1.0
-0.1511 -2.4973 -2.9137
0.3099 -4.2504 3.6271
-3.0289 2.2003 0.8025
Rh Be Ca
1 2 1
direct
0.3093 0.9287 0.6187
0.0044 0.0159 0.0094
0.6853 0.0536 0.3701
0.5012 0.5020 0.0018
```

Summary:
Offset from the most stable computed form (meV/atom): 4.0
Energy of formation (meV/atom): -288
Space group: Cm (8)

Q: Which N(E_F) values were calculated for the entries above? A: 0.86, 0.64, 0.32, 0.53, in states/eV per atom.